The following is a PBE calculation of an optimized crystal structure of LuFe4B, from the Alexandria database.

Summary:
Uncorrected energy, eV/cell: -93.267
SG: P6/mmm, No. 191
Energy of formation, eV/f.u.: -1.585

abc: 4.997 4.997 7.012
angles: 90.00 90.00 120.00
Site moments in Bohr magnetons follow the coordinates.
Sites, in units of the cell vectors:
B: 0.333 0.667 0.500  -0.13
B: 0.667 0.333 0.500  -0.13
Lu: 0.000 0.000 0.500  -0.33
Lu: 0.000 0.000 0.000  -0.32
Fe: 0.667 0.333 0.000  2.39
Fe: 0.333 0.667 0.000  2.39
Fe: 0.500 0.500 0.714  1.99
Fe: 0.500 0.000 0.714  1.93
Fe: 0.000 0.500 0.714  1.79
Fe: 0.500 0.500 0.286  1.99
Fe: 0.500 0.000 0.286  1.93
Fe: 0.000 0.500 0.286  1.79

---

The following is a PBE calculation of an optimized crystal structure of LuFeB4, from the Alexandria database.

Summary:
E above lowest polymorph, kJ/mol of atoms: 0.0
Uncorrected energy, eV/cell: -174.562
SG: Pbam, No. 55
Energy of formation, eV/f.u.: -3.947

abc: 3.319 5.833 11.277
angles: 90.00 90.00 90.00
Sites, in units of the cell vectors:
Lu: 0.000 0.628 0.350
Lu: 0.000 0.372 0.650
Lu: 0.000 0.128 0.150
Lu: 0.000 0.872 0.850
Fe: 0.000 0.634 0.089
Fe: 0.000 0.366 0.911
Fe: 0.000 0.134 0.411
Fe: 0.000 0.866 0.589
B: 0.500 0.785 0.184
B: 0.500 0.215 0.816
B: 0.500 0.285 0.316
B: 0.500 0.715 0.684
B: 0.500 0.863 0.031
B: 0.500 0.137 0.969
B: 0.500 0.363 0.469
B: 0.500 0.637 0.531
B: 0.500 0.888 0.453
B: 0.500 0.112 0.547
B: 0.500 0.388 0.047
B: 0.500 0.612 0.953
B: 0.500 0.976 0.308
B: 0.500 0.024 0.692
B: 0.500 0.476 0.192
B: 0.500 0.524 0.808

---

The following is a PBE calculation of an optimized crystal structure of MgFeB14, from the Alexandria database.

Summary:
Uncorrected energy, eV/cell: -208.704
SG: Imma, No. 74
Energy of formation, eV/f.u.: -0.811

abc: 5.868 7.141 7.141
angles: 69.51 65.74 65.74
Site moments in Bohr magnetons follow the coordinates.
Sites, in units of the cell vectors:
Mg: 0.250 0.406 0.094  0.00
Mg: 0.750 0.594 0.906  0.00
Fe: 0.500 0.000 0.500  0.95
Fe: 0.000 0.000 0.500  0.95
B: 0.667 0.369 0.298  0.00
B: 0.333 0.631 0.702  0.00
B: 0.167 0.798 0.869  0.00
B: 0.833 0.202 0.131  0.00
B: 0.154 0.232 0.459  0.01
B: 0.846 0.768 0.541  0.01
B: 0.654 0.959 0.732  0.01
B: 0.346 0.041 0.268  0.01
B: 0.093 0.078 0.736  0.00
B: 0.907 0.922 0.264  0.00
B: 0.593 0.236 0.578  0.00
B: 0.407 0.764 0.422  0.00
B: 0.720 0.603 0.275  0.00
B: 0.598 0.397 0.725  0.00
B: 0.220 0.775 0.103  0.00
B: 0.098 0.225 0.897  0.00
B: 0.280 0.397 0.725  0.00
B: 0.402 0.603 0.275  0.00
B: 0.780 0.225 0.897  0.00
B: 0.902 0.775 0.103  0.00
B: 0.330 0.963 0.870  0.00
B: 0.163 0.037 0.130  0.00
B: 0.830 0.370 0.463  0.00
B: 0.663 0.630 0.537  0.00
B: 0.670 0.037 0.130  0.00
B: 0.837 0.963 0.870  0.00
B: 0.170 0.630 0.537  0.00
B: 0.337 0.370 0.463  0.00

---

Repeat the third record exactly.
The following is a PBE calculation of an optimized crystal structure of MgFeB14, from the Alexandria database.

Summary:
Uncorrected energy, eV/cell: -208.704
SG: Imma, No. 74
Energy of formation, eV/f.u.: -0.811

abc: 5.868 7.141 7.141
angles: 69.51 65.74 65.74
Site moments in Bohr magnetons follow the coordinates.
Sites, in units of the cell vectors:
Mg: 0.250 0.406 0.094  0.00
Mg: 0.750 0.594 0.906  0.00
Fe: 0.500 0.000 0.500  0.95
Fe: 0.000 0.000 0.500  0.95
B: 0.667 0.369 0.298  0.00
B: 0.333 0.631 0.702  0.00
B: 0.167 0.798 0.869  0.00
B: 0.833 0.202 0.131  0.00
B: 0.154 0.232 0.459  0.01
B: 0.846 0.768 0.541  0.01
B: 0.654 0.959 0.732  0.01
B: 0.346 0.041 0.268  0.01
B: 0.093 0.078 0.736  0.00
B: 0.907 0.922 0.264  0.00
B: 0.593 0.236 0.578  0.00
B: 0.407 0.764 0.422  0.00
B: 0.720 0.603 0.275  0.00
B: 0.598 0.397 0.725  0.00
B: 0.220 0.775 0.103  0.00
B: 0.098 0.225 0.897  0.00
B: 0.280 0.397 0.725  0.00
B: 0.402 0.603 0.275  0.00
B: 0.780 0.225 0.897  0.00
B: 0.902 0.775 0.103  0.00
B: 0.330 0.963 0.870  0.00
B: 0.163 0.037 0.130  0.00
B: 0.830 0.370 0.463  0.00
B: 0.663 0.630 0.537  0.00
B: 0.670 0.037 0.130  0.00
B: 0.837 0.963 0.870  0.00
B: 0.170 0.630 0.537  0.00
B: 0.337 0.370 0.463  0.00

---

The lowest energy of formation belongs to which entry? LuFeB4

---

The lowest energy of formation belongs to which entry? LuFeB4

---

Repeat the third record exactly.
The following is a PBE calculation of an optimized crystal structure of MgFeB14, from the Alexandria database.

Summary:
Uncorrected energy, eV/cell: -208.704
SG: Imma, No. 74
Energy of formation, eV/f.u.: -0.811

abc: 5.868 7.141 7.141
angles: 69.51 65.74 65.74
Site moments in Bohr magnetons follow the coordinates.
Sites, in units of the cell vectors:
Mg: 0.250 0.406 0.094  0.00
Mg: 0.750 0.594 0.906  0.00
Fe: 0.500 0.000 0.500  0.95
Fe: 0.000 0.000 0.500  0.95
B: 0.667 0.369 0.298  0.00
B: 0.333 0.631 0.702  0.00
B: 0.167 0.798 0.869  0.00
B: 0.833 0.202 0.131  0.00
B: 0.154 0.232 0.459  0.01
B: 0.846 0.768 0.541  0.01
B: 0.654 0.959 0.732  0.01
B: 0.346 0.041 0.268  0.01
B: 0.093 0.078 0.736  0.00
B: 0.907 0.922 0.264  0.00
B: 0.593 0.236 0.578  0.00
B: 0.407 0.764 0.422  0.00
B: 0.720 0.603 0.275  0.00
B: 0.598 0.397 0.725  0.00
B: 0.220 0.775 0.103  0.00
B: 0.098 0.225 0.897  0.00
B: 0.280 0.397 0.725  0.00
B: 0.402 0.603 0.275  0.00
B: 0.780 0.225 0.897  0.00
B: 0.902 0.775 0.103  0.00
B: 0.330 0.963 0.870  0.00
B: 0.163 0.037 0.130  0.00
B: 0.830 0.370 0.463  0.00
B: 0.663 0.630 0.537  0.00
B: 0.670 0.037 0.130  0.00
B: 0.837 0.963 0.870  0.00
B: 0.170 0.630 0.537  0.00
B: 0.337 0.370 0.463  0.00